Record 1
DyZn11Ir: optimized geometry, GGA-PBE.

a = 6.869 Å, b = 6.869 Å, c = 6.680 Å
α = 97.98°, β = 97.98°, γ = 135.52°
Atoms (fractional coordinates):
Dy 0.000 0.000 0.000
Zn 0.000 0.500 0.000
Zn 0.016 0.667 0.646
Zn 0.284 0.501 0.786
Zn 0.333 0.984 0.354
Zn 0.499 0.716 0.214
Zn 0.500 0.000 0.000
Zn 0.500 0.500 0.500
Zn 0.501 0.284 0.786
Zn 0.667 0.016 0.646
Zn 0.716 0.499 0.214
Zn 0.984 0.333 0.354
Ir 0.000 0.000 0.500

Properties
N(E_F), states/eV/f.u.: 4.72
Energy relative to the elements, eV/atom: -0.222
Symmetry: C2/m (12)
Crystal system: monoclinic

***

Record 2
LaGaO: optimized geometry, GGA-PBE.

a = 4.127 Å, b = 4.127 Å, c = 8.041 Å
α = 100.01°, β = 100.01°, γ = 86.75°
Atoms (fractional coordinates):
La 0.201 0.201 0.347
La 0.799 0.799 0.653
Ga 0.288 0.288 0.957
Ga 0.712 0.712 0.043
O 0.251 0.749 0.500
O 0.749 0.251 0.500

Properties
Offset from the most stable computed form, eV per formula unit: 0.000
N(E_F), states/eV/f.u.: 0.53
Symmetry: C2/m (12)
Crystal system: monoclinic
E_form (uncorrected), eV/atom: -2.0539

***

Record 3
ZrIn2Pt: optimized geometry, GGA-PBE.

a = 4.877 Å, b = 4.877 Å, c = 4.877 Å
α = 60.00°, β = 60.00°, γ = 60.00°
Atoms (fractional coordinates):
Zr 0.000 0.000 0.000
In 0.500 0.500 0.500
In 0.750 0.750 0.750
Pt 0.250 0.250 0.250

Properties
N(E_F), states/eV/f.u.: 2.42
Energy relative to the elements, eV/atom: -0.323
Symmetry: F-43m (216)
Crystal system: cubic

***

Record 4
BaLi4Cd2Au: optimized geometry, GGA-PBE.

a = 10.101 Å, b = 10.101 Å, c = 10.101 Å
α = 26.83°, β = 26.83°, γ = 26.83°
Atoms (fractional coordinates):
Ba 0.000 0.000 0.000
Li 0.138 0.138 0.138
Li 0.414 0.414 0.414
Li 0.586 0.586 0.586
Li 0.862 0.862 0.862
Cd 0.235 0.235 0.235
Cd 0.765 0.765 0.765
Au 0.500 0.500 0.500

Properties
N(E_F), states/eV/f.u.: 4.42
Energy relative to the elements, eV/atom: -0.268
Symmetry: R-3m (166)
Crystal system: trigonal

***

Record 5
NaRu3Se: optimized geometry, GGA-PBE.

a = 4.593 Å, b = 4.593 Å, c = 4.593 Å
α = 90.00°, β = 90.00°, γ = 90.00°
Atoms (fractional coordinates):
Na 0.000 0.000 0.000
Ru 0.000 0.500 0.500
Ru 0.500 0.000 0.500
Ru 0.500 0.500 0.000
Se 0.500 0.500 0.500

Properties
Offset from the most stable computed form, eV per formula unit: 0.000
N(E_F), states/eV/f.u.: 5.39
Symmetry: Pm-3m (221)
Crystal system: cubic
E_form (uncorrected), eV/atom: 0.8957

***

Record 6
PHSe3: optimized geometry, GGA-PBE.

a = 5.986 Å, b = 6.601 Å, c = 6.695 Å
α = 89.48°, β = 88.06°, γ = 89.64°
Atoms (fractional coordinates):
P 0.000 0.000 0.000
P 0.292 0.495 0.354
H 0.061 0.537 0.393
H 0.232 0.040 0.961
Se 0.324 0.548 0.009
Se 0.328 0.155 0.422
Se 0.527 0.659 0.520
Se 0.766 0.169 0.833
Se 0.964 0.661 0.933
Se 0.967 0.050 0.344

Properties
Offset from the most stable computed form, eV per formula unit: 0.000
Symmetry: P1 (1)
Crystal system: triclinic

***

What magnetic moment values result from the calculations? In sequence: 0.000 0.000 0.000 0.000 2.384 0.000 μB/f.u..
What mass density values result from the calculations? In sequence: 8.683 5.618 10.447 5.265 6.944 3.378 g/cm³.